! Ac6Te3PtS2 PBE optimized geometry; values from VASP
&SYSTEM
  ibrav = 0, nat = 12, ntyp = 4
/
ATOMIC_SPECIES
Ac 227.00 Ac.upf
Te 127.60 Te.upf
Pt 195.08 Pt.upf
S 32.06 S.upf
CELL_PARAMETERS angstrom
3.9108 -6.7580 0.0000
3.9108 6.7580 0.0000
-2.6213 0.0000 7.6505
ATOMIC_POSITIONS angstrom
Ac 1.2787 2.2245 1.6800
Ac -0.0336 0.0000 5.9525
Ac 1.2787 -2.2245 1.6800
Ac 3.9217 2.2245 5.9705
Ac 5.2339 0.0000 1.6980
Ac 3.9217 -2.2245 5.9705
Te 2.6002 4.4540 3.8252
Te 2.6002 0.0000 3.8252
Te 2.6002 -4.4540 3.8252
Pt 0.0000 0.0000 0.0000
S 3.9108 2.2433 0.0000
S 3.9108 -2.2433 0.0000
! formation energy without anion corrections: -1.61 eV/atom
! symmetry: C2/m
! density: 8.2 Mg/m³
! DOS at the Fermi energy: 6.472 states/eV per cell